Entry i
Entry from the Alexandria database: an optimized crystal structure of LiTc2Pt (PBEsol).

* space group: Imm2, No. 44
* V: 54.9 Å³/cell
* DOS at the Fermi energy: 0.77 states/eV/atom

Lattice parameters (Å, degrees): 3.700 4.151 4.530 117.27 114.10 90.00
Element x y z (fractional)
Tc 0.260 0.760 0.520
Pt 0.755 0.255 0.511
Li 0.503 0.503 0.006
Tc 0.982 0.982 0.963

Entry ii
Entry from the Alexandria database: an optimized crystal structure of LiTc2Pt (PBEsol).

* space group: Pm, No. 6
* V: 54.3 Å³/cell
* DOS at the Fermi energy: 0.70 states/eV/atom

Lattice parameters (Å, degrees): 2.618 4.112 5.123 90.00 99.88 90.00
Element x y z (fractional)
Tc 0.725 0.500 0.252
Li 0.501 0.000 0.505
Pt 0.335 0.500 0.725
Tc 0.938 0.000 0.018

Energy ordering: entry ii at the bottom, the next structure 75 meV/atom above.

Entry i
Entry from the Alexandria database: an optimized crystal structure of LiTePt (PBEsol).

* space group: F-43m, No. 216
* V: 57.8 Å³/cell
* DOS at the Fermi energy: 0.44 states/eV/atom

Lattice parameters (Å, degrees): 4.339 4.339 4.339 60.00 60.00 60.00
Element x y z (fractional)
Te 0.000 0.000 0.000
Li 0.500 0.500 0.500
Pt 0.250 0.250 0.250

Entry ii
Entry from the Alexandria database: an optimized crystal structure of LiTePt (PBEsol).

* space group: I4mm, No. 107
* V: 52.0 Å³/cell
* DOS at the Fermi energy: 0.42 states/eV/atom

Lattice parameters (Å, degrees): 3.640 3.640 4.696 112.80 112.80 90.00
Element x y z (fractional)
Te 0.672 0.672 0.344
Li 0.997 0.997 0.994
Pt 0.331 0.331 0.662

Energy ordering: entry i at the bottom, the next structure 226 meV/atom above.